[1]
# Pm4Nd3Dy

A relaxed structure of Pm4Nd3Dy (PBE, Alexandria).

a b c (Å): 3.5183 6.9350 12.0222
angles (deg): 106.74 98.41 90.00
Last column: nearest neighbours and their distance in Å.
Positions (direct):
Dy1 0.5000 0.0000 0.0000  2 Dy 3.52, 4 Pm 3.72, 8 Nd 3.72-3.89
Nd1 0.0000 0.5000 0.0000  2 Pm 3.34, 4 Nd 3.36-3.52
Nd2 0.1243 0.8849 0.2487  5 Pm 3.33-3.61, 3 Nd 3.36-3.52, 2 Dy 3.72
Nd3 0.8757 0.1151 0.7513  5 Pm 3.33-3.61, 3 Nd 3.36-3.52, 2 Dy 3.72
Pm1 0.7417 0.2440 0.4834  9 Pm 3.52-3.94, 3 Nd 3.55-3.61
Pm2 0.2583 0.7560 0.5166  9 Pm 3.52-3.94, 3 Nd 3.55-3.61
Pm3 0.1240 0.3648 0.2480  3 Nd 3.33-3.60, 5 Pm 3.52-3.61, 2 Dy 3.72
Pm4 0.8760 0.6352 0.7520  3 Nd 3.33-3.60, 5 Pm 3.52-3.61, 2 Dy 3.72

ΔE_f: 0.15 eV per atom
mass density: 7.03 g cm⁻³
polymorph energy (0 for the lowest one): 0.119 eV/atom

***

[2]
# Y2HfMo

A relaxed structure of Y2HfMo (PBE, Alexandria).

a b c (Å): 8.2047 8.2047 6.5285
angles (deg): 51.07 51.07 90.00
Last column: nearest neighbours and their distance in Å.
Positions (direct):
Y1 0.5867 0.1250 0.2500  2 Mo 2.79, 2 Y 3.06
Y2 0.1633 0.6250 0.2500  2 Mo 2.79, 2 Y 3.06
Y3 0.3750 0.4133 0.7500  2 Mo 2.79, 2 Y 3.06
Y4 0.8750 0.8367 0.7500  2 Mo 2.79, 2 Y 3.06
Mo1 0.5000 0.5000 0.0000  4 Y 2.79, 2 Hf 2.99
Mo2 0.2500 0.7500 0.5000  4 Y 2.79, 2 Hf 2.99
Hf1 0.0000 0.0000 0.0000  2 Mo 2.99, 4 Y 3.22
Hf2 0.7500 0.2500 0.5000  2 Mo 2.99, 4 Y 3.22

ΔE_f: 0.80 eV per atom
mass density: 7.45 g cm⁻³
polymorph energy (0 for the lowest one): 0.287 eV/atom

***

[3]
# CuSnHg2

A relaxed structure of CuSnHg2 (PBE, Alexandria).

a b c (Å): 8.1168 8.1168 6.4064
angles (deg): 50.69 50.69 90.00
Last column: nearest neighbours and their distance in Å.
Positions (direct):
Hg1 0.5763 0.1250 0.2500  2 Cu 2.70, 2 Hg 2.95
Hg2 0.1737 0.6250 0.2500  2 Cu 2.70, 2 Hg 2.95
Hg3 0.3750 0.4237 0.7500  2 Cu 2.70, 2 Hg 2.95
Hg4 0.8750 0.8263 0.7500  2 Cu 2.70, 2 Hg 2.95
Cu1 0.5000 0.5000 0.0000  4 Hg 2.70, 2 Sn 2.85
Cu2 0.2500 0.7500 0.5000  4 Hg 2.70, 2 Sn 2.85
Sn1 0.0000 0.0000 0.0000  2 Cu 2.85
Sn2 0.7500 0.2500 0.5000  2 Cu 2.85

ΔE_f: 0.21 eV per atom
mass density: 10.33 g cm⁻³

***

[4]
# YHgSCl2

A relaxed structure of YHgSCl2 (PBE, Alexandria).

a b c (Å): 5.2349 5.2349 5.4567
angles (deg): 90.00 90.00 90.00
Last column: nearest neighbours and their distance in Å.
Positions (direct):
Y1 0.0000 0.0000 0.0000  4 Cl 2.62, 2 S 2.73
S1 0.0000 0.0000 0.5000  2 Y 2.73
Hg1 0.5000 0.5000 0.5000  4 S 3.70, 8 Cl 3.78
Cl1 0.0000 0.5000 0.0000  2 Y 2.62
Cl2 0.5000 0.0000 0.0000  2 Y 2.62

mass density: 4.36 g cm⁻³
polymorph energy (0 for the lowest one): 0.000 eV/atom

***

[5]
# Ca2PbS

A relaxed structure of Ca2PbS (PBE, Alexandria).

a b c (Å): 5.3353 5.3353 5.3353
angles (deg): 60.00 60.00 60.00
Last column: nearest neighbours and their distance in Å.
Positions (direct):
Pb1 0.5000 0.5000 0.5000  8 Ca 3.27
Ca1 0.2500 0.2500 0.2500  4 S 3.27, 4 Pb 3.27
Ca2 0.7500 0.7500 0.7500  4 Pb 3.27, 4 S 3.27
S1 0.0000 0.0000 0.0000  8 Ca 3.27

mass density: 4.94 g cm⁻³
polymorph energy (0 for the lowest one): 0.593 eV/atom

***

[6]
# SrAsO2

A relaxed structure of SrAsO2 (PBE, Alexandria).

a b c (Å): 4.9664 4.9664 7.0026
angles (deg): 69.23 69.23 90.00
Last column: nearest neighbours and their distance in Å.
Positions (direct):
Sr1 0.0000 0.0000 0.0000  4 O 2.47
Sr2 0.7500 0.2500 0.5000  4 O 2.47
As1 0.5000 0.5000 0.0000  4 O 2.19
As2 0.2500 0.7500 0.5000  4 O 2.19
O1 0.5727 0.1250 0.2500  2 As 2.19
O2 0.1773 0.6250 0.2500  2 As 2.19
O3 0.3750 0.4273 0.7500  2 As 2.19
O4 0.8750 0.8227 0.7500  2 As 2.19

mass density: 4.32 g cm⁻³

***

[7]
# EuHPd2

A relaxed structure of EuHPd2 (PBE, Alexandria).

a b c (Å): 5.1511 5.1511 4.3681
angles (deg): 53.87 53.87 60.00
Last column: nearest neighbours and their distance in Å.
Positions (direct):
Eu1 0.5000 0.5000 0.5000  8 Pd 2.97-3.12
H1 0.0000 0.0000 0.0000  2 Pd 1.67
Pd1 0.1744 0.1744 0.4768  1 H 1.67
Pd2 0.8256 0.8256 0.5232  1 H 1.67

mass density: 8.26 g cm⁻³

***

[8]
# LiTbTh2S4

A relaxed structure of LiTbTh2S4 (PBE, Alexandria).

a b c (Å): 3.8983 7.0295 6.7291
angles (deg): 71.59 90.00 90.00
Last column: nearest neighbours and their distance in Å.
Positions (direct):
Li1 0.5000 0.5000 0.0000  6 S 2.67-2.71
Tb1 0.0000 0.5000 0.5000  6 S 2.75
Th1 0.0000 0.0000 0.0000  6 S 2.84-2.86
Th2 0.5000 0.0000 0.5000  6 S 2.90-2.92
S1 0.0000 0.7302 0.7628  2 Li 2.71, 1 Tb 2.75, 3 Th 2.84-2.90
S2 0.0000 0.2698 0.2372  2 Li 2.71, 1 Tb 2.75, 3 Th 2.84-2.90
S3 0.5000 0.7309 0.2472  1 Li 2.67, 2 Tb 2.75, 3 Th 2.86-2.92
S4 0.5000 0.2691 0.7528  1 Li 2.67, 2 Tb 2.75, 3 Th 2.86-2.92

mass density: 7.20 g cm⁻³

***

[9]
# BaTaBe2

A relaxed structure of BaTaBe2 (PBE, Alexandria).

a b c (Å): 7.5833 7.5833 6.2524
angles (deg): 52.67 52.67 90.00
Last column: nearest neighbours and their distance in Å.
Positions (direct):
Be1 0.7070 0.1250 0.2500  2 Ta 2.42
Be2 0.0430 0.6250 0.2500  2 Ta 2.42
Be3 0.3750 0.2930 0.7500  2 Ta 2.42
Be4 0.8750 0.9570 0.7500  2 Ta 2.42
Ba1 0.5000 0.5000 0.0000  2 Ta 3.22, 8 Be 3.25-3.32
Ba2 0.2500 0.7500 0.5000  2 Ta 3.22, 8 Be 3.25-3.32
Ta1 0.0000 0.0000 0.0000  4 Be 2.42
Ta2 0.7500 0.2500 0.5000  4 Be 2.42

ΔE_f: 1.18 eV per atom
mass density: 6.04 g cm⁻³
polymorph energy (0 for the lowest one): 0.734 eV/atom

***

[10]
# SrLa2Sn2

A relaxed structure of SrLa2Sn2 (PBE, Alexandria).

a b c (Å): 4.2890 6.4988 7.0157
angles (deg): 101.93 107.80 90.00
Last column: nearest neighbours and their distance in Å.
Positions (direct):
Sr1 0.0000 0.0000 0.0000  4 Sn 3.44
La1 0.3592 0.4301 0.7185  4 Sn 3.28-3.44
La2 0.6408 0.5699 0.2815  4 Sn 3.28-3.44
Sn1 0.7060 0.1123 0.4121  2 Sn 2.98, 1 La 3.28
Sn2 0.2940 0.8877 0.5879  2 Sn 2.98, 1 La 3.28

ΔE_f: -0.43 eV per atom
mass density: 5.51 g cm⁻³
polymorph energy (0 for the lowest one): 0.229 eV/atom

***

[11]
# TaCr2Ag

A relaxed structure of TaCr2Ag (PBE, Alexandria).

a b c (Å): 2.6362 2.6362 8.6840
angles (deg): 90.00 90.00 90.00
Last column: nearest neighbours and their distance in Å.
Positions (direct):
Ag1 0.5000 0.5000 0.7500  4 Ag 2.64, 8 Cr 2.85
Cr1 0.0000 0.0000 0.9986  4 Cr 2.64, 4 Ag 2.85, 4 Ta 2.87
Cr2 0.0000 0.0000 0.5014  4 Cr 2.64, 4 Ag 2.85, 4 Ta 2.87
Ta1 0.5000 0.5000 0.2500  4 Ta 2.64, 8 Cr 2.87

ΔE_f: 0.54 eV per atom
mass density: 10.81 g cm⁻³
polymorph energy (0 for the lowest one): 0.274 eV/atom

***

[12]
# Cs4Rb2CdBi2

A relaxed structure of Cs4Rb2CdBi2 (PBE, Alexandria).

a b c (Å): 6.0983 9.8382 9.8382
angles (deg): 74.77 80.08 80.08
Last column: nearest neighbours and their distance in Å.
Positions (direct):
Cs1 0.1904 0.6534 0.0768  3 Bi 3.98-4.40, 1 Cd 4.02, 1 Rb 4.27, 1 Cs 4.35
Cs2 0.8096 0.9232 0.3466  3 Bi 3.98-4.40, 1 Cd 4.02, 1 Rb 4.27, 1 Cs 4.35
Cs3 0.8096 0.3466 0.9232  3 Bi 3.98-4.40, 1 Cd 4.02, 1 Rb 4.27, 1 Cs 4.35
Cs4 0.1904 0.0768 0.6534  3 Bi 3.98-4.40, 1 Cd 4.02, 1 Rb 4.27, 1 Cs 4.35
Rb1 0.2937 0.6397 0.6397  2 Bi 4.01-4.10, 2 Cs 4.27
Rb2 0.7063 0.3603 0.3603  2 Bi 4.01-4.10, 2 Cs 4.27
Cd1 0.5000 0.0000 0.0000  2 Bi 2.90
Bi1 0.2935 0.1855 0.1855  1 Cd 2.90
Bi2 0.7065 0.8145 0.8145  1 Cd 2.90

ΔE_f: -0.24 eV per atom
mass density: 3.68 g cm⁻³

***

[13]
# Pm6Sm2Dy3Tl

A relaxed structure of Pm6Sm2Dy3Tl (PBE, Alexandria).

a b c (Å): 6.2062 6.2062 11.8590
angles (deg): 95.04 95.04 120.13
Last column: nearest neighbours and their distance in Å.
Positions (direct):
Pm1 0.9169 0.5898 0.7501  6 Pm 3.51-3.62, 1 Tl 3.55, 3 Dy 3.57-3.60, 2 Sm 3.59
Pm2 0.7565 0.7565 0.2513  6 Pm 3.51-3.62, 3 Dy 3.56-3.59, 1 Tl 3.57, 2 Sm 3.60
Pm3 0.0831 0.4102 0.2499  6 Pm 3.51-3.62, 1 Tl 3.55, 3 Dy 3.57-3.60, 2 Sm 3.59
Pm4 0.5898 0.9169 0.7501  6 Pm 3.51-3.62, 1 Tl 3.55, 3 Dy 3.57-3.60, 2 Sm 3.59
Pm5 0.2435 0.2435 0.7487  6 Pm 3.51-3.62, 3 Dy 3.56-3.59, 1 Tl 3.57, 2 Sm 3.60
Pm6 0.4102 0.0831 0.2499  6 Pm 3.51-3.62, 1 Tl 3.55, 3 Dy 3.57-3.60, 2 Sm 3.59
Sm1 0.3340 0.6660 0.0000  3 Sm 3.57-3.59, 3 Tl 3.57-3.59, 6 Pm 3.59-3.60
Sm2 0.6660 0.3340 0.0000  3 Sm 3.57-3.59, 3 Tl 3.57-3.59, 6 Pm 3.59-3.60
Dy1 0.1674 0.8326 0.5000  6 Pm 3.56-3.60, 6 Dy 3.57-3.60
Dy2 0.8326 0.1674 0.5000  6 Pm 3.56-3.60, 6 Dy 3.57-3.60
Dy3 0.5000 0.5000 0.5000  6 Pm 3.57-3.59, 6 Dy 3.58
Tl1 0.0000 0.0000 0.0000  6 Pm 3.55-3.57, 6 Sm 3.57-3.59

ΔE_f: -0.02 eV per atom
mass density: 7.95 g cm⁻³

***

[14]
# MgPa2Mo

A relaxed structure of MgPa2Mo (PBE, Alexandria).

a b c (Å): 3.2259 3.2259 9.0218
angles (deg): 90.00 90.00 90.00
Last column: nearest neighbours and their distance in Å.
Positions (direct):
Mo1 0.5000 0.5000 0.0000  8 Pa 2.96, 4 Mo 3.23
Pa1 0.0000 0.0000 0.7915  4 Mo 2.96, 4 Pa 3.23
Pa2 0.0000 0.0000 0.2085  4 Mo 2.96, 4 Pa 3.23
Mg1 0.5000 0.5000 0.5000  4 Mg 3.23, 8 Pa 3.48

ΔE_f: 0.20 eV per atom
mass density: 10.30 g cm⁻³
polymorph energy (0 for the lowest one): 0.000 eV/atom

***

[15]
# YMg2PdO

A relaxed structure of YMg2PdO (PBE, Alexandria).

a b c (Å): 4.1840 4.1840 4.8553
angles (deg): 90.00 90.00 90.00
Last column: nearest neighbours and their distance in Å.
Positions (direct):
Y1 0.0000 0.0000 0.5000  2 O 2.43
Mg1 0.0000 0.5000 0.0000  2 O 2.09
Mg2 0.5000 0.0000 0.0000  2 O 2.09
O1 0.0000 0.0000 0.0000  4 Mg 2.09
Pd1 0.5000 0.5000 0.5000  4 Y 2.96, 8 Mg 3.20

mass density: 5.08 g cm⁻³

***

[16]
# SrZnH2

A relaxed structure of SrZnH2 (PBE, Alexandria).

a b c (Å): 4.4038 4.4038 4.4038
angles (deg): 60.00 60.00 60.00
Last column: nearest neighbours and their distance in Å.
Positions (direct):
Sr1 0.5000 0.5000 0.5000  8 H 2.70
Zn1 0.0000 0.0000 0.0000  8 H 2.70
H1 0.2500 0.2500 0.2500  4 Sr 2.70, 4 Zn 2.70
H2 0.7500 0.7500 0.7500  4 Sr 2.70, 4 Zn 2.70

mass density: 4.26 g cm⁻³
polymorph energy (0 for the lowest one): 0.000 eV/atom

***

[17]
# Sr2Si2Ag

A relaxed structure of Sr2Si2Ag (PBE, Alexandria).

a b c (Å): 7.5516 7.5516 4.6090
angles (deg): 90.00 90.00 90.00
Last column: nearest neighbours and their distance in Å.
Positions (direct):
Sr1 0.1801 0.6801 0.5000  6 Si 3.20-3.23
Sr2 0.6801 0.8199 0.5000  6 Si 3.20-3.23
Sr3 0.8199 0.3199 0.5000  6 Si 3.20-3.23
Sr4 0.3199 0.1801 0.5000  6 Si 3.20-3.23
Si1 0.3887 0.8887 0.0000  1 Si 2.38
Si2 0.8887 0.6113 0.0000  1 Si 2.38
Si3 0.6113 0.1113 0.0000  1 Si 2.38
Si4 0.1113 0.3887 0.0000  1 Si 2.38
Ag1 0.0000 0.0000 0.0000  4 Si 3.05
Ag2 0.5000 0.5000 0.0000  4 Si 3.05

mass density: 4.29 g cm⁻³
polymorph energy (0 for the lowest one): 0.130 eV/atom

***

[18]
# Y5ScAg4

A relaxed structure of Y5ScAg4 (PBE, Alexandria).

a b c (Å): 3.6122 3.6122 19.2508
angles (deg): 90.00 90.00 90.00
Last column: nearest neighbours and their distance in Å.
Positions (direct):
Y1 0.5000 0.5000 0.1154  4 Ag 3.15, 4 Sc 3.39
Y2 0.5000 0.5000 0.3075  8 Ag 3.16-3.17
Y3 0.5000 0.5000 0.5000  8 Ag 3.15
Y4 0.5000 0.5000 0.6925  8 Ag 3.16-3.17
Y5 0.5000 0.5000 0.8846  4 Ag 3.15, 4 Sc 3.39
Sc1 0.0000 0.0000 0.0000  8 Y 3.39, 4 Sc 3.61
Ag1 0.0000 0.0000 0.2110  8 Y 3.15-3.16
Ag2 0.0000 0.0000 0.4046  8 Y 3.15-3.17
Ag3 0.0000 0.0000 0.5954  8 Y 3.15-3.17
Ag4 0.0000 0.0000 0.7890  8 Y 3.15-3.16

ΔE_f: -0.25 eV per atom
mass density: 6.09 g cm⁻³

***

[19]
# Mn3InAs

A relaxed structure of Mn3InAs (PBE, Alexandria).

a b c (Å): 4.6835 4.6835 4.6835
angles (deg): 90.00 90.00 90.00
Last column: nearest neighbours and their distance in Å.
Positions (direct):
As1 0.0000 0.0000 0.0000  6 Mn 2.34
Mn1 0.0000 0.5000 0.0000  2 As 2.34
Mn2 0.0000 0.0000 0.5000  2 As 2.34
Mn3 0.5000 0.0000 0.0000  2 As 2.34
In1 0.5000 0.5000 0.5000  12 Mn 3.31

ΔE_f: 0.41 eV per atom
mass density: 5.73 g cm⁻³
polymorph energy (0 for the lowest one): 0.000 eV/atom

***

[20]
# NpAgBi2

A relaxed structure of NpAgBi2 (PBE, Alexandria).

a b c (Å): 3.3892 3.3892 9.3904
angles (deg): 90.00 90.00 90.00
Last column: nearest neighbours and their distance in Å.
Positions (direct):
Np1 0.5000 0.5000 0.5000  4 Np 3.39, 8 Bi 3.45
Bi1 0.0000 0.0000 0.7645  4 Ag 3.26, 4 Bi 3.39, 4 Np 3.45
Bi2 0.0000 0.0000 0.2355  4 Ag 3.26, 4 Bi 3.39, 4 Np 3.45
Ag1 0.5000 0.5000 0.0000  8 Bi 3.26, 4 Ag 3.39

ΔE_f: 0.16 eV per atom
mass density: 11.74 g cm⁻³

***

| no. | VASP energy (eV/atom) |
| --- | --- |
| 1 | -4.588 |
| 2 | -7.633 |
| 3 | -1.967 |
| 4 | -4.171 |
| 5 | -3.647 |
| 6 | -5.400 |
| 7 | -6.189 |
| 8 | -6.528 |
| 9 | -4.130 |
| 10 | -4.342 |
| 11 | -7.949 |
| 12 | -1.799 |
| 13 | -4.533 |
| 14 | -7.659 |
| 15 | -5.276 |
| 16 | -2.522 |
| 17 | -3.678 |
| 18 | -5.252 |
| 19 | -6.573 |
| 20 | -5.725 |